# 1
VASP calculation (PBE-GGA) on an optimized crystal structure of TaIn2Pt.

Geometry as extended XYZ:
```
8
Lattice="-1.214 -1.589 -7.411 -6.899 -2.876 1.747 -5.217 0.333 -3.192" Properties=species:S:1:pos:R:3 pbc="T T T"
In -2.956 -1.309 -5.399
In -5.737 -1.872 -0.445
In -6.781 -1.352 -4.562
In -11.186 -3.730 -7.305
Pt 0.000 0.000 0.000
Pt -5.244 -1.744 -6.717
Ta -4.057 -2.232 -2.832
Ta -8.086 -2.388 -2.138
```

Computed properties:
For the density of states at the Fermi level, the calculation gives 5.50 states/eV/cell. The calculation puts the density at 12.0 g/cm3. As for the formation energy: 0.280 eV/atom. The calculation puts the energy relative to the lowest polymorph listed for this composition at 415 meV/atom.

---

# 2
VASP calculation (PBE-GGA) on an optimized crystal structure of Hf2MgSc3.

Geometry as extended XYZ:
```
6
Lattice="-1.271 2.928 -0.322 -1.763 -0.476 2.638 9.976 5.166 7.599" Properties=species:S:1:pos:R:3 pbc="T T T"
Hf 6.759 5.512 7.463
Hf 0.182 2.106 2.452
Mg 3.471 3.809 4.958
Sc 0.000 0.000 0.000
Sc 6.707 3.473 5.109
Sc 3.269 1.693 2.490
```

Computed properties:
For the density of states at the Fermi level, the calculation gives 6.66 states/eV/cell. The calculation puts the density at 6.1 g/cm3. As for the formation energy: -0.003 eV/atom.

---

# 3
VASP calculation (PBE-GGA) on an optimized crystal structure of ZnReCl2.

Geometry as extended XYZ:
```
4
Lattice="-2.148 -0.620 4.869 2.936 -4.361 -1.032 2.264 -0.258 2.115" Properties=species:S:1:pos:R:3 pbc="T T T"
Re 0.058 -0.439 3.492
Zn 2.600 -2.309 0.541
Cl 0.000 0.000 0.000
Cl 0.394 -2.490 1.919
```

Computed properties:
The uncorrected formation energy comes out at 0.702 eV/atom. For the density of states at the Fermi level, the calculation gives 2.20 states/eV/cell. The calculation puts the density at 7.6 g/cm3. The calculation puts the energy relative to the lowest polymorph listed for this composition at 721 meV/atom.

---

# 4
VASP calculation (PBE-GGA) on an optimized crystal structure of PaSi6.

Geometry as extended XYZ:
```
7
Lattice="5.715 0.000 0.000 -1.905 5.388 0.000 -1.905 -2.694 4.666" Properties=species:S:1:pos:R:3 pbc="T T T"
Pa 0.000 0.000 0.000
Si -0.952 2.694 2.333
Si 0.952 3.367 1.166
Si -0.952 0.673 3.499
Si 2.857 0.000 2.333
Si 0.952 -0.673 3.499
Si 2.857 2.020 1.166
```

Computed properties:
The uncorrected formation energy comes out at 0.412 eV/atom. For the density of states at the Fermi level, the calculation gives 11.06 states/eV/cell. The calculation puts the density at 4.6 g/cm3.

---

# 5
VASP calculation (PBE-GGA) on an optimized crystal structure of InPdPt2.

Geometry as extended XYZ:
```
8
Lattice="4.147 0.000 0.000 0.000 5.665 -0.803 0.000 0.287 5.630" Properties=species:S:1:pos:R:3 pbc="T T T"
In 1.037 2.036 0.577
In 3.110 3.916 4.250
Pd 1.037 2.330 3.311
Pd 3.110 3.622 1.516
Pt 1.037 5.189 2.772
Pt 3.110 0.763 2.054
Pt 1.037 4.891 0.000
Pt 3.110 1.061 4.827
```

Computed properties:
For the density of states at the Fermi level, the calculation gives 4.85 states/eV/cell. The calculation puts the density at 15.2 g/cm3. As for the formation energy: -0.354 eV/atom.

---

# 6
VASP calculation (PBE-GGA) on an optimized crystal structure of PmPr2Hf.

Geometry as extended XYZ:
```
4
Lattice="-4.873 -0.223 0.967 -0.214 -4.531 -2.121 0.976 -2.120 4.431" Properties=species:S:1:pos:R:3 pbc="T T T"
Pr 0.488 -1.060 2.215
Pr -0.107 -2.266 -1.061
Hf -2.436 -0.112 0.484
Pm -2.055 -3.437 1.638
```

Computed properties:
For the density of states at the Fermi level, the calculation gives 4.30 states/eV/cell. The calculation puts the density at 8.1 g/cm3. As for the formation energy: 0.196 eV/atom.

---

# 7
VASP calculation (PBE-GGA) on an optimized crystal structure of Tb2Ga5Os.

Geometry as extended XYZ:
```
8
Lattice="6.097 -0.006 -0.008 -3.007 5.304 0.008 -3.007 -1.797 4.991" Properties=species:S:1:pos:R:3 pbc="T T T"
Tb 0.042 -0.024 3.741
Tb 0.042 3.526 1.250
Ga -1.668 2.481 3.536
Ga -2.981 3.247 1.419
Ga -2.981 0.230 3.536
Ga 1.803 0.990 1.411
Ga -1.575 0.919 1.309
Os -5.877 3.428 4.885
```

Computed properties:
For the density of states at the Fermi level, the calculation gives 3.83 states/eV/cell. The calculation puts the density at 8.8 g/cm3. As for the formation energy: -0.357 eV/atom.

---

# 8
VASP calculation (PBE-GGA) on an optimized crystal structure of LiTmO3.

Geometry as extended XYZ:
```
5
Lattice="-2.251 1.076 -2.648 -0.725 -3.476 -0.797 -2.765 0.035 2.365" Properties=species:S:1:pos:R:3 pbc="T T T"
Li -2.871 -1.182 -0.540
Tm 0.000 0.000 0.000
O -1.488 -1.200 -1.722
O -2.508 0.556 -0.142
O -1.745 -1.720 0.784
```

Computed properties:
The uncorrected formation energy comes out at -1.806 eV/atom. For the density of states at the Fermi level, the calculation gives 1.85 states/eV/cell. The calculation puts the density at 7.7 g/cm3.

---

# 9
VASP calculation (PBE-GGA) on an optimized crystal structure of Ba2TiO.

Geometry as extended XYZ:
```
4
Lattice="5.366 -0.390 -1.051 2.905 -4.157 2.080 1.866 -3.960 -3.299" Properties=species:S:1:pos:R:3 pbc="T T T"
Ba 2.534 -2.127 -0.568
Ba 7.603 -6.380 -1.703
O 0.000 0.000 0.000
Ti 5.069 -4.254 -1.135
```

Computed properties:
The uncorrected formation energy comes out at 0.460 eV/atom. For the density of states at the Fermi level, the calculation gives 14.57 states/eV/cell. The calculation puts the density at 4.8 g/cm3. The calculation puts the energy relative to the lowest polymorph listed for this composition at 832 meV/atom.

---

# 10
VASP calculation (PBE-GGA) on an optimized crystal structure of InGa3Ge.

Geometry as extended XYZ:
```
5
Lattice="-0.797 -1.018 -5.061 4.848 -1.908 -0.380 -1.775 -4.755 1.236" Properties=species:S:1:pos:R:3 pbc="T T T"
Ge 1.138 -3.841 -2.102
Ga 2.424 -0.954 -0.190
Ga -0.887 -2.378 0.618
Ga -0.399 -0.509 -2.531
In 0.000 0.000 0.000
```

Computed properties:
For the density of states at the Fermi level, the calculation gives 2.90 states/eV/cell. The calculation puts the density at 4.6 g/cm3. As for the formation energy: 0.698 eV/atom. The calculation puts the energy relative to the lowest polymorph listed for this composition at 633 meV/atom.

---

# 11
VASP calculation (PBE-GGA) on an optimized crystal structure of Sn2PCl2.

Geometry as extended XYZ:
```
10
Lattice="8.836 0.000 0.000 0.000 8.836 0.000 0.000 0.000 3.248" Properties=species:S:1:pos:R:3 pbc="T T T"
P 0.000 0.000 0.000
P 4.418 4.418 0.000
Sn 1.857 6.275 1.624
Sn 6.275 6.979 1.624
Sn 6.979 2.561 1.624
Sn 2.561 1.857 1.624
Cl 3.376 7.794 0.000
Cl 7.794 5.460 0.000
Cl 5.460 1.042 0.000
Cl 1.042 3.376 0.000
```

Computed properties:
The uncorrected formation energy comes out at 0.023 eV/atom. For the density of states at the Fermi level, the calculation gives 3.90 states/eV/cell. The calculation puts the density at 4.4 g/cm3.

---

# 12
VASP calculation (PBE-GGA) on an optimized crystal structure of Pm2HoZn2In2.

Geometry as extended XYZ:
```
7
Lattice="4.717 0.000 0.000 2.359 4.085 0.000 2.359 1.362 9.296" Properties=species:S:1:pos:R:3 pbc="T T T"
Pm 2.359 1.362 5.767
Pm 7.076 4.085 3.529
Ho 0.000 0.000 0.000
Zn 4.717 2.723 1.633
Zn 4.717 2.723 7.663
In 7.076 4.085 7.447
In 2.359 1.362 1.848
```

Computed properties:
For the density of states at the Fermi level, the calculation gives 3.54 states/eV/cell. The calculation puts the density at 7.6 g/cm3. As for the formation energy: -0.290 eV/atom.

---

| no. | total DFT energy (no corrections) (eV/cell) |
| --- | --- |
| 1 | -44.501 |
| 2 | -40.513 |
| 3 | -14.608 |
| 4 | -39.147 |
| 5 | -42.855 |
| 6 | -23.480 |
| 7 | -38.480 |
| 8 | -30.290 |
| 9 | -14.860 |
| 10 | -12.946 |
| 11 | -33.983 |
| 12 | -24.135 |